1.
! PBE-GGA AcCePuSn, relaxed; values from VASP
&SYSTEM
  ibrav = 0, nat = 4, ntyp = 4
/
ATOMIC_SPECIES
Ac 227.00 Ac.upf
Sn 118.71 Sn.upf
Ce 140.12 Ce.upf
Pu 244.00 Pu.upf
CELL_PARAMETERS angstrom
-5.529 0.307 0.413
-3.161 -4.153 -1.897
-2.704 -3.284 3.568
ATOMIC_POSITIONS angstrom
Ac -5.697 -3.565 1.042
Sn -8.545 -5.347 1.563
Ce -2.848 -1.782 0.521
Pu 0.000 0.000 0.000
! E_form: -0.070 eV per atom
! calculated density: 10.0 g/cm³

=====

2.
! PBE-GGA SrMg2Cd6, relaxed; values from VASP
&SYSTEM
  ibrav = 0, nat = 9, ntyp = 3
/
ATOMIC_SPECIES
Sr 87.62 Sr.upf
Mg 24.30 Mg.upf
Cd 112.41 Cd.upf
CELL_PARAMETERS angstrom
3.508 0.000 0.000
0.000 8.535 0.000
-1.754 -4.268 7.449
ATOMIC_POSITIONS angstrom
Sr 0.000 4.268 0.000
Mg 1.754 4.268 5.293
Mg 0.000 0.000 2.155
Cd 1.754 5.785 2.641
Cd 0.000 -1.518 4.808
Cd 0.000 1.518 4.808
Cd 1.754 1.421 0.000
Cd 1.754 7.114 0.000
Cd 1.754 2.750 2.641
! E_form: -0.139 eV per atom
! calculated density: 6.0 g/cm³
! offset from the most stable computed form: 0.0 meV/atom

=====

3.
! PBE-GGA PrHo6Al2, relaxed; values from VASP
&SYSTEM
  ibrav = 0, nat = 9, ntyp = 3
/
ATOMIC_SPECIES
Pr 140.91 Pr.upf
Ho 164.93 Ho.upf
Al 26.98 Al.upf
CELL_PARAMETERS angstrom
4.776 0.000 0.000
0.000 4.776 0.000
-2.388 -2.388 13.795
ATOMIC_POSITIONS angstrom
Pr 2.388 2.388 0.000
Ho 3.573 1.203 2.880
Ho 1.185 1.185 10.915
Ho 1.203 3.573 2.880
Ho -1.185 -1.185 10.915
Ho 2.388 0.000 6.897
Ho 0.000 2.388 6.897
Al 0.000 0.000 5.142
Al 2.388 2.388 8.653
! E_form: 0.486 eV per atom
! calculated density: 6.3 g/cm³

=====

4.
! PBE-GGA TbTm2Pt, relaxed; values from VASP
&SYSTEM
  ibrav = 0, nat = 4, ntyp = 3
/
ATOMIC_SPECIES
Tm 168.93 Tm.upf
Tb 158.93 Tb.upf
Pt 195.08 Pt.upf
CELL_PARAMETERS angstrom
-2.312 -0.371 2.955
0.132 -3.117 2.118
5.696 2.867 7.222
ATOMIC_POSITIONS angstrom
Tm 0.459 -0.419 2.712
Tm 3.057 -0.202 9.583
Tb 1.758 -0.310 6.147
Pt 0.000 0.000 0.000
! E_form: -0.513 eV per atom
! calculated density: 9.9 g/cm³
! offset from the most stable computed form: 222.9 meV/atom

=====

5.
! PBE-GGA Na3FeCl6, relaxed; values from VASP
&SYSTEM
  ibrav = 0, nat = 20, ntyp = 3
/
ATOMIC_SPECIES
Na 22.99 Na.upf
Fe 55.84 Fe.upf
Cl 35.45 Cl.upf
CELL_PARAMETERS angstrom
7.919 0.039 0.040
-0.133 7.918 0.040
-0.133 -0.136 7.917
ATOMIC_POSITIONS angstrom
Na 5.857 4.629 0.603
Na 4.501 0.471 5.968
Na 7.281 1.956 3.356
Na 0.373 5.866 4.642
Na 3.153 7.351 2.030
Na 1.797 3.192 7.394
Fe 0.000 0.000 0.000
Fe 3.827 3.911 3.999
Cl 0.199 5.478 7.370
Cl 2.182 0.461 7.516
Cl 1.651 3.321 4.446
Cl 0.413 7.465 2.357
Cl 4.335 1.746 3.418
Cl 4.370 3.415 6.176
Cl 3.284 4.407 1.821
Cl 3.319 6.076 4.579
Cl 7.241 0.357 5.640
Cl 6.003 4.501 3.551
Cl 5.472 7.361 0.482
Cl 7.455 2.344 0.627
! formation energy without anion corrections: -1.323 eV per atom
! calculated density: 2.3 g/cm³
! offset from the most stable computed form: 15.9 meV/atom

=====

6.
! PBE-GGA SrMn2Au, relaxed; values from VASP
&SYSTEM
  ibrav = 0, nat = 4, ntyp = 3
/
ATOMIC_SPECIES
Au 196.97 Au.upf
Mn 54.94 Mn.upf
Sr 87.62 Sr.upf
CELL_PARAMETERS angstrom
4.415 0.019 -0.024
2.192 3.833 -0.024
2.228 1.299 5.598
ATOMIC_POSITIONS angstrom
Au 2.205 1.285 0.575
Mn 2.226 1.298 5.377
Mn 6.630 3.865 5.180
Sr 4.419 2.576 2.791
! E_form: -0.002 eV per atom
! calculated density: 6.9 g/cm³

=====

7.
! PBE-GGA CrInPCl2, relaxed; values from VASP
&SYSTEM
  ibrav = 0, nat = 5, ntyp = 4
/
ATOMIC_SPECIES
Cr 52.00 Cr.upf
Cl 35.45 Cl.upf
P 30.97 P.upf
In 114.82 In.upf
CELL_PARAMETERS angstrom
5.070 0.000 0.000
0.000 5.070 0.000
0.000 0.000 5.237
ATOMIC_POSITIONS angstrom
Cr 2.535 2.535 2.618
Cl 0.000 2.535 0.000
Cl 2.535 0.000 0.000
P 0.000 0.000 2.618
In 0.000 0.000 0.000
! formation energy without anion corrections: 0.315 eV per atom
! calculated density: 3.3 g/cm³
! offset from the most stable computed form: 612.0 meV/atom

=====

8.
! PBE-GGA MgOs4Se, relaxed; values from VASP
&SYSTEM
  ibrav = 0, nat = 6, ntyp = 3
/
ATOMIC_SPECIES
Mg 24.30 Mg.upf
Os 190.23 Os.upf
Se 78.96 Se.upf
CELL_PARAMETERS angstrom
-1.638 -4.828 -1.132
-4.871 -0.769 -1.718
-0.830 -1.378 -4.969
ATOMIC_POSITIONS angstrom
Mg 0.000 0.000 0.000
Os -3.571 -5.027 -3.499
Os -3.168 -3.305 -5.414
Os -5.185 -3.001 -3.791
Os -2.754 -2.617 -2.934
Se -5.504 -5.231 -5.864
! formation energy without anion corrections: 0.807 eV per atom
! calculated density: 14.2 g/cm³

=====

Repeat the seventh record exactly.
! PBE-GGA CrInPCl2, relaxed; values from VASP
&SYSTEM
  ibrav = 0, nat = 5, ntyp = 4
/
ATOMIC_SPECIES
Cr 52.00 Cr.upf
Cl 35.45 Cl.upf
P 30.97 P.upf
In 114.82 In.upf
CELL_PARAMETERS angstrom
5.070 0.000 0.000
0.000 5.070 0.000
0.000 0.000 5.237
ATOMIC_POSITIONS angstrom
Cr 2.535 2.535 2.618
Cl 0.000 2.535 0.000
Cl 2.535 0.000 0.000
P 0.000 0.000 2.618
In 0.000 0.000 0.000
! formation energy without anion corrections: 0.315 eV per atom
! calculated density: 3.3 g/cm³
! offset from the most stable computed form: 612.0 meV/atom

=====

Question: Among the records above, which one has the lowest calculated density?
Answer: Na3FeCl6

=====

Question: Number 7 is which compound?
Answer: CrInPCl2